[1]
Density functional theory data (PBE) for InH2Au2 after structural relaxation.

Cell: 4.1906 2.9869 10.5493 Å, 89.21 78.55 45.45°
With the nearest neighbours (Å) after each atom.
Atoms (fractional coordinates):
1 In 0.0000 0.0000 0.0000  8 Au 2.95-2.97, 4 In 2.99
2 H 0.4721 0.5187 0.5370  1 H 0.75
3 H 0.5279 0.4813 0.4630  1 H 0.75
4 Au 0.3088 0.1784 0.2041  4 In 2.95-2.97, 4 Au 2.99, 1 H 3.29
5 Au 0.6912 0.8216 0.7959  4 In 2.95-2.97, 4 Au 2.99, 1 H 3.29

E above lowest polymorph   0 meV/atom
Mass density   9.35 g cm⁻³

[2]
Density functional theory data (PBE) for InH2Au after structural relaxation.

Cell: 4.1736 4.1736 4.1736 Å, 60.00 60.00 60.00°
With the nearest neighbours (Å) after each atom.
Atoms (fractional coordinates):
1 H 0.2500 0.2500 0.2500  4 In 2.56, 4 Au 2.56
2 H 0.7500 0.7500 0.7500  4 Au 2.56, 4 In 2.56
3 Au 0.5000 0.5000 0.5000  8 H 2.56
4 In 0.0000 0.0000 0.0000  8 H 2.56

E above lowest polymorph   643 meV/atom
Mass density   10.14 g cm⁻³

[3]
Density functional theory data (PBE) for InH3Au after structural relaxation.

Cell: 3.9044 3.9044 3.9044 Å, 90.00 90.00 90.00°
With the nearest neighbours (Å) after each atom.
Atoms (fractional coordinates):
1 H 0.0000 0.5000 0.0000  2 Au 1.95
2 H 0.0000 0.0000 0.5000  2 Au 1.95
3 H 0.5000 0.0000 0.0000  2 Au 1.95
4 Au 0.0000 0.0000 0.0000  6 H 1.95
5 In 0.5000 0.5000 0.5000  12 H 2.76

E above lowest polymorph   0 meV/atom
Mass density   8.78 g cm⁻³

[4]
Density functional theory data (PBE) for InH3Au after structural relaxation.

Cell: 3.9565 3.9565 3.9565 Å, 90.00 90.00 90.00°
With the nearest neighbours (Å) after each atom.
Atoms (fractional coordinates):
1 H 0.0000 0.5000 0.0000  2 In 1.98
2 H 0.0000 0.0000 0.5000  2 In 1.98
3 H 0.5000 0.0000 0.0000  2 In 1.98
4 Au 0.5000 0.5000 0.5000  12 H 2.80
5 In 0.0000 0.0000 0.0000  6 H 1.98

E above lowest polymorph   393 meV/atom
Mass density   8.44 g cm⁻³

[5]
Density functional theory data (PBE) for In12H5Au3 after structural relaxation.

Cell: 12.9117 12.9117 12.9117 Å, 109.47 109.47 109.47°
With the nearest neighbours (Å) after each atom.
Atoms (fractional coordinates):
1 Au 0.7500 0.3750 0.1250  8 In 2.94-2.96
2 Au 0.8750 0.7500 0.1250  8 In 2.94-2.96
3 Au 0.3750 0.7500 0.6250  8 In 2.94-2.96
4 Au 0.2500 0.1250 0.3750  8 In 2.94-2.96
5 Au 0.8750 0.1250 0.2500  8 In 2.94-2.96
6 Au 0.3750 0.6250 0.2500  8 In 2.94-2.96
7 Au 0.6250 0.3750 0.7500  8 In 2.94-2.96
8 Au 0.1250 0.8750 0.7500  8 In 2.94-2.96
9 Au 0.7500 0.8750 0.6250  8 In 2.94-2.96
10 Au 0.6250 0.2500 0.3750  8 In 2.94-2.96
11 Au 0.1250 0.2500 0.8750  8 In 2.94-2.96
12 Au 0.2500 0.6250 0.8750  8 In 2.94-2.96
13 H 0.1250 0.3750 0.2500  4 In 2.19
14 H 0.0000 0.5000 0.0000  6 In 2.43
15 H 0.0000 0.0000 0.0000  6 In 2.43
16 H 0.3750 0.2500 0.1250  4 In 2.19
17 H 0.5000 0.0000 0.5000  6 In 2.43
18 H 0.5000 0.5000 0.0000  6 In 2.43
19 H 0.1250 0.7500 0.3750  4 In 2.19
20 H 0.7500 0.1250 0.8750  4 In 2.19
21 H 0.7500 0.6250 0.3750  4 In 2.19
22 H 0.3750 0.1250 0.7500  4 In 2.19
23 H 0.6250 0.8750 0.2500  4 In 2.19
24 H 0.5000 0.5000 0.5000  6 In 2.43
25 H 0.5000 0.0000 0.0000  6 In 2.43
26 H 0.0000 0.0000 0.5000  6 In 2.43
27 H 0.2500 0.3750 0.6250  4 In 2.19
28 H 0.2500 0.8750 0.1250  4 In 2.19
29 H 0.0000 0.5000 0.5000  6 In 2.43
30 H 0.8750 0.2500 0.6250  4 In 2.19
31 H 0.6250 0.7500 0.8750  4 In 2.19
32 H 0.8750 0.6250 0.7500  4 In 2.19
33 In 0.7054 0.1128 0.0216  2 H 2.19-2.43
34 In 0.3163 0.5216 0.4089  2 H 2.19-2.43
35 In 0.9784 0.3872 0.2946  2 H 2.19-2.43
36 In 0.5216 0.2054 0.1128  2 H 2.19-2.43
37 In 0.5926 0.7054 0.6837  2 H 2.19-2.43
38 In 0.9784 0.5911 0.1837  2 H 2.19-2.43
39 In 0.3163 0.7946 0.4074  2 H 2.19-2.43
40 In 0.0911 0.9074 0.1128  2 H 2.19-2.43
41 In 0.5911 0.9784 0.6837  2 H 2.19-2.43
42 In 0.7054 0.5926 0.1837  2 H 2.19-2.43
43 In 0.7946 0.4784 0.3872  2 H 2.19-2.43
44 In 0.8163 0.9089 0.0216  2 H 2.19-2.43
45 In 0.1128 0.7054 0.5216  2 H 2.19-2.43
46 In 0.3872 0.4089 0.0926  2 H 2.19-2.43
47 In 0.0926 0.9089 0.3872  2 H 2.19-2.43
48 In 0.4074 0.1128 0.5911  2 H 2.19-2.43
49 In 0.0926 0.1837 0.2054  2 H 2.19-2.43
50 In 0.4784 0.6837 0.0911  2 H 2.19-2.43
51 In 0.8163 0.9074 0.2946  2 H 2.19-2.43
52 In 0.1128 0.4074 0.0911  2 H 2.19-2.43
53 In 0.3872 0.9784 0.7946  2 H 2.19-2.43
54 In 0.5911 0.6128 0.4074  2 H 2.19-2.43
55 In 0.9089 0.8163 0.5216  2 H 2.19-2.43
56 In 0.7946 0.3163 0.9074  2 H 2.19-2.43
57 In 0.4089 0.3872 0.5926  2 H 2.19-2.43
58 In 0.0911 0.1837 0.4784  2 H 2.19-2.43
59 In 0.2054 0.6837 0.0926  2 H 2.19-2.43
60 In 0.1837 0.0926 0.7054  2 H 2.19-2.43
61 In 0.6128 0.0216 0.2054  2 H 2.19-2.43
62 In 0.8872 0.5926 0.9089  2 H 2.19-2.43
63 In 0.5216 0.3163 0.9089  2 H 2.19-2.43
64 In 0.5926 0.8872 0.4089  2 H 2.19-2.43
65 In 0.9074 0.8163 0.7946  2 H 2.19-2.43
66 In 0.9074 0.0911 0.6128  2 H 2.19-2.43
67 In 0.8872 0.2946 0.4784  2 H 2.19-2.43
68 In 0.1837 0.0911 0.9784  2 H 2.19-2.43
69 In 0.6128 0.5911 0.9074  2 H 2.19-2.43
70 In 0.4089 0.0216 0.3163  2 H 2.19-2.43
71 In 0.2946 0.4074 0.8163  2 H 2.19-2.43
72 In 0.2054 0.5216 0.6128  2 H 2.19-2.43
73 In 0.9089 0.0926 0.8872  2 H 2.19-2.43
74 In 0.6837 0.2054 0.5926  2 H 2.19-2.43
75 In 0.4784 0.7946 0.8872  2 H 2.19-2.43
76 In 0.0216 0.4089 0.8163  2 H 2.19-2.43
77 In 0.4074 0.2946 0.3163  2 H 2.19-2.43
78 In 0.0216 0.6128 0.7054  2 H 2.19-2.43
79 In 0.6837 0.4784 0.5911  2 H 2.19-2.43
80 In 0.2946 0.8872 0.9784  2 H 2.19-2.43

Energy   -56.421 eV per formula unit
Mass density   7.91 g cm⁻³

[6]
Density functional theory data (PBE) for InH2Au2 after structural relaxation.

Cell: 3.8824 3.8824 5.3808 Å, 68.85 68.85 90.00°
With the nearest neighbours (Å) after each atom.
Atoms (fractional coordinates):
1 H 0.7500 0.2500 0.5000  4 Au 2.11
2 H 0.2500 0.7500 0.5000  4 Au 2.11
3 Au 0.3399 0.3399 0.3201  4 H 2.11
4 Au 0.6601 0.6601 0.6799  4 H 2.11
5 In 0.0000 0.0000 0.0000  8 H 3.02, 10 Au 3.12-3.15

E above lowest polymorph   178 meV/atom
Mass density   12.16 g cm⁻³

[7]
Density functional theory data (PBE) for InH2Au2 after structural relaxation.

Cell: 6.3503 6.3503 3.6385 Å, 90.00 90.00 90.00°
With the nearest neighbours (Å) after each atom.
Atoms (fractional coordinates):
1 H 0.1428 0.6428 0.0000  2 Au 1.83
2 H 0.6428 0.8572 0.0000  2 Au 1.83
3 H 0.8572 0.3572 0.0000  2 Au 1.83
4 H 0.3572 0.1428 0.0000  2 Au 1.83
5 Au 0.1611 0.6611 0.5000  2 H 1.83
6 Au 0.6611 0.8389 0.5000  2 H 1.83
7 Au 0.8389 0.3389 0.5000  2 H 1.83
8 Au 0.3389 0.1611 0.5000  2 H 1.83
9 In 0.0000 0.0000 0.0000  4 H 2.44
10 In 0.5000 0.5000 0.0000  4 H 2.44

E above lowest polymorph   47 meV/atom
Mass density   11.56 g cm⁻³

[8]
Density functional theory data (PBE) for InHAu2 after structural relaxation.

Cell: 3.0127 3.0127 8.6554 Å, 79.98 79.98 60.00°
With the nearest neighbours (Å) after each atom.
Atoms (fractional coordinates):
1 H 0.5000 0.5000 0.5000  6 Au 2.21
2 Au 0.1131 0.1131 0.6607  3 H 2.21
3 Au 0.8869 0.8869 0.3393  3 H 2.21
4 In 0.0000 0.0000 0.0000  2 Au 2.88, 6 In 3.01

E above lowest polymorph   191 meV/atom
Mass density   12.70 g cm⁻³

[9]
Density functional theory data (PBE) for InHAu2 after structural relaxation.

Cell: 5.3451 5.3451 6.3627 Å, 65.16 65.16 90.00°
With the nearest neighbours (Å) after each atom.
Atoms (fractional coordinates):
1 H 0.5000 0.5000 0.0000  4 Au 1.94
2 H 0.2500 0.7500 0.5000  4 Au 1.94
3 Au 0.4866 0.1250 0.2500  2 H 1.94
4 Au 0.2634 0.6250 0.2500  2 H 1.94
5 Au 0.3750 0.5134 0.7500  2 H 1.94
6 Au 0.8750 0.7366 0.7500  2 H 1.94
7 In 0.0000 0.0000 0.0000  4 Au 2.78
8 In 0.7500 0.2500 0.5000  4 Au 2.78

E above lowest polymorph   0 meV/atom
Mass density   11.58 g cm⁻³

[10]
Density functional theory data (PBE) for InH2Au3 after structural relaxation.

Cell: 4.5655 8.9474 6.3974 Å, 45.63 90.00 90.00°
With the nearest neighbours (Å) after each atom.
Atoms (fractional coordinates):
1 In 0.7500 0.7388 0.5225  8 Au 2.80-2.98, 4 H 2.90
2 In 0.2500 0.2612 0.4775  8 Au 2.80-2.98, 4 H 2.90
3 H 0.0000 0.6699 0.0000  2 Au 1.79
4 H 0.5000 0.3301 0.0000  2 Au 1.79
5 H 0.0000 0.3301 0.0000  2 Au 1.79
6 H 0.5000 0.6699 0.0000  2 Au 1.79
7 Au 0.7500 0.0836 0.8328  4 Au 2.75-3.00, 2 In 2.80
8 Au 0.2500 0.9164 0.1672  4 Au 2.75-3.00, 2 In 2.80
9 Au 0.7500 0.5444 0.2986  2 H 1.79
10 Au 0.2500 0.4556 0.7014  2 H 1.79
11 Au 0.7500 0.1570 0.2986  2 H 1.79
12 Au 0.2500 0.8430 0.7014  2 H 1.79

Energy   -18.243 eV per formula unit
Mass density   12.58 g cm⁻³

[11]
Density functional theory data (PBE) for InHAu2 after structural relaxation.

Cell: 4.5847 4.5847 4.5847 Å, 60.00 60.00 60.00°
With the nearest neighbours (Å) after each atom.
Atoms (fractional coordinates):
1 H 0.0000 0.0000 0.0000  8 Au 2.81
2 Au 0.2500 0.2500 0.2500  4 In 2.81, 4 H 2.81
3 Au 0.7500 0.7500 0.7500  4 In 2.81, 4 H 2.81
4 In 0.5000 0.5000 0.5000  8 Au 2.81

E above lowest polymorph   338 meV/atom
Mass density   12.42 g cm⁻³

[12]
Density functional theory data (PBE) for InH2Au after structural relaxation.

Cell: 5.5813 5.5813 5.5941 Å, 60.08 60.08 90.00°
With the nearest neighbours (Å) after each atom.
Atoms (fractional coordinates):
1 H 0.7813 0.1250 0.2500  2 Au 1.79
2 H 0.9687 0.6250 0.2500  2 Au 1.79
3 H 0.3750 0.2187 0.7500  2 Au 1.79
4 H 0.8750 0.0313 0.7500  2 Au 1.79
5 Au 0.0000 0.0000 0.0000  4 H 1.79
6 Au 0.7500 0.2500 0.5000  4 H 1.79
7 In 0.5000 0.5000 0.0000  4 H 2.84
8 In 0.2500 0.7500 0.5000  4 H 2.84

E above lowest polymorph   177 meV/atom
Mass density   8.44 g cm⁻³